TaGaNi2: optimized geometry, PBE.

- Electronic total energy: -106.90 eV for the cell shown

Structure (extended XYZ):
```
16
Lattice="5.987 0.000 0.000 0.000 5.987 0.000 0.000 0.000 5.987" Properties=species:S:1:pos:R:3 pbc="T T T"
Ta 0.000 0.000 0.000
Ta 0.000 2.993 2.993
Ta 2.993 0.000 2.993
Ta 2.993 2.993 0.000
Ga 1.497 1.497 4.490
Ga 1.497 4.490 1.497
Ga 4.490 1.497 1.497
Ga 4.490 4.490 4.490
Ni 0.000 0.000 2.993
Ni 0.000 2.993 0.000
Ni 1.497 1.497 1.497
Ni 1.497 4.490 4.490
Ni 2.993 0.000 0.000
Ni 2.993 2.993 2.993
Ni 4.490 1.497 4.490
Ni 4.490 4.490 1.497
```

Ta2GaNi: optimized geometry, PBE.

- Electronic total energy: -125.83 eV for the cell shown

Structure (extended XYZ):
```
16
Lattice="6.336 0.000 0.000 0.000 6.336 0.000 0.000 0.000 6.336" Properties=species:S:1:pos:R:3 pbc="T T T"
Ta 0.000 0.000 0.000
Ta 0.000 3.168 3.168
Ta 1.584 1.584 1.584
Ta 1.584 4.752 4.752
Ta 3.168 0.000 3.168
Ta 3.168 3.168 0.000
Ta 4.752 1.584 4.752
Ta 4.752 4.752 1.584
Ga 0.000 0.000 3.168
Ga 0.000 3.168 0.000
Ga 3.168 0.000 0.000
Ga 3.168 3.168 3.168
Ni 1.584 1.584 4.752
Ni 1.584 4.752 1.584
Ni 4.752 1.584 1.584
Ni 4.752 4.752 4.752
```

TaGaTcNi: optimized geometry, PBE.

- Relative energy among the computed polymorphs: 0.000 eV per atom

Structure (extended XYZ):
```
16
Lattice="6.157 0.000 0.000 0.000 6.157 0.000 0.000 0.000 6.157" Properties=species:S:1:pos:R:3 pbc="T T T"
Ta 0.000 0.000 0.000
Ta 0.000 3.078 3.078
Ta 3.078 0.000 3.078
Ta 3.078 3.078 0.000
Ga 0.000 0.000 3.078
Ga 0.000 3.078 0.000
Ga 3.078 0.000 0.000
Ga 3.078 3.078 3.078
Tc 1.539 1.539 1.539
Tc 1.539 4.617 4.617
Tc 4.617 1.539 4.617
Tc 4.617 4.617 1.539
Ni 1.539 1.539 4.617
Ni 1.539 4.617 1.539
Ni 4.617 1.539 1.539
Ni 4.617 4.617 4.617
```